Below is a geometry-optimized Sr3Ti2CrO8 structure, with properties calculated at the PBE with a Hubbard U level.

```
Sr3Ti2CrO8
1.0
-4.847 1.344 2.772
4.257 -2.667 2.786
2.821 6.409 1.825
O Sr Ti Cr
8 3 2 1
direct
0.667 0.333 0.041 O
0.668 0.834 0.314 O
0.834 0.166 0.686 O
0.332 0.166 0.686 O
0.333 0.667 0.959 O
0.166 0.834 0.314 O
0.166 0.332 0.314 O
0.834 0.668 0.686 O
0.333 0.667 0.641 Sr
0.000 0.000 0.000 Sr
0.667 0.333 0.359 Sr
0.333 0.667 0.206 Ti
0.667 0.333 0.794 Ti
0.000 0.000 0.500 Cr
```

Computed properties:
ρ = 4.33 g/cm3
total DFT energy (no corrections) = -7.618 eV/atom
SG = P-3m1 (164)